Entry 1:
VASP calculation (PBE) on a relaxed RbSm6Te8 crystal.

Summary:
For the formation energy without anion corrections, the calculation gives -1.37 eV per atom. As for the density of states at the Fermi level: 11.8 states/eV/cell. The calculation puts the density at 5.95 Mg/m³. For the total DFT energy (no corrections), the calculation gives -74.972 eV per cell. The space group is P-3.

abc: 11.954 11.954 4.532
angles: 90.00 90.00 120.00
Fractional coordinates of all 15 atoms:
Rb (0.000, 0.000, 0.000)
Sm (0.136, 0.651, 0.750)
Sm (0.349, 0.485, 0.750)
Sm (0.485, 0.136, 0.250)
Sm (0.515, 0.864, 0.750)
Sm (0.651, 0.515, 0.250)
Sm (0.864, 0.349, 0.250)
Te (0.046, 0.351, 0.750)
Te (0.306, 0.954, 0.750)
Te (0.333, 0.667, 0.250)
Te (0.351, 0.306, 0.250)
Te (0.649, 0.694, 0.750)
Te (0.667, 0.333, 0.750)
Te (0.694, 0.046, 0.250)
Te (0.954, 0.649, 0.250)

=====

Entry 2:
VASP calculation (PBE) on a relaxed LiTm3Tl2F12 crystal.

Summary:
For the formation energy without anion corrections, the calculation gives -3.44 eV per atom. As for the density of states at the Fermi level: 0.0 states/eV/cell. The calculation puts the density at 5.27 Mg/m³. For the total DFT energy (no corrections), the calculation gives -104.350 eV per cell. The space group is R-3m.

abc: 7.898 7.898 7.898
angles: 61.80 61.80 61.80
Fractional coordinates of all 18 atoms:
Li (0.000, 0.000, 0.000)
Tm (0.000, 0.000, 0.500)
Tm (0.000, 0.500, 0.000)
Tm (0.500, 0.000, 0.000)
Tl (0.330, 0.330, 0.330)
Tl (0.670, 0.670, 0.670)
F (0.053, 0.684, 0.684)
F (0.073, 0.073, 0.676)
F (0.073, 0.676, 0.073)
F (0.316, 0.316, 0.947)
F (0.316, 0.947, 0.316)
F (0.324, 0.927, 0.927)
F (0.676, 0.073, 0.073)
F (0.684, 0.053, 0.684)
F (0.684, 0.684, 0.053)
F (0.927, 0.324, 0.927)
F (0.927, 0.927, 0.324)
F (0.947, 0.316, 0.316)

=====

Entry 3:
VASP calculation (PBE) on a relaxed GdLuCoRu crystal.

Summary:
As for the density of states at the Fermi level: 3.2 states/eV/cell. The calculation puts the density at 10.88 Mg/m³. For the total DFT energy (no corrections), the calculation gives -36.070 eV per cell. The space group is F-43m.

abc: 4.736 4.736 4.736
angles: 60.00 60.00 60.00
Fractional coordinates of all 4 atoms:
Gd (0.000, 0.000, 0.000)
Lu (0.500, 0.500, 0.500)
Co (0.250, 0.250, 0.250)
Ru (0.750, 0.750, 0.750)

=====

Entry 4:
VASP calculation (PBE) on a relaxed Ba3Na2Li2Tl4 crystal.

Summary:
As for the density of states at the Fermi level: 3.9 states/eV/cell. The calculation puts the density at 5.77 Mg/m³. For the total DFT energy (no corrections), the calculation gives -23.762 eV per cell. The space group is P-3m1.

abc: 5.741 5.741 13.006
angles: 90.00 90.00 120.00
Fractional coordinates of all 11 atoms:
Ba (0.000, 0.000, 0.000)
Ba (0.000, 0.000, 0.315)
Ba (0.000, 0.000, 0.685)
Na (0.333, 0.667, 0.546)
Na (0.667, 0.333, 0.454)
Li (0.333, 0.667, 0.071)
Li (0.667, 0.333, 0.929)
Tl (0.333, 0.667, 0.279)
Tl (0.333, 0.667, 0.844)
Tl (0.667, 0.333, 0.156)
Tl (0.667, 0.333, 0.721)

=====

Entry 5:
VASP calculation (PBE) on a relaxed Ca2Pr4Bi3O2 crystal.

Summary:
For the formation energy without anion corrections, the calculation gives -1.54 eV per atom. As for the density of states at the Fermi level: 4.2 states/eV/cell. The calculation puts the density at 6.90 Mg/m³. For the total DFT energy (no corrections), the calculation gives -61.638 eV per cell. The space group is I4/mmm.

abc: 13.474 13.474 13.474
angles: 159.01 159.01 29.85
Fractional coordinates of all 11 atoms:
Ca (0.194, 0.194, 0.000)
Ca (0.806, 0.806, 0.000)
Pr (0.085, 0.585, 0.500)
Pr (0.415, 0.915, 0.500)
Pr (0.585, 0.085, 0.500)
Pr (0.915, 0.415, 0.500)
Bi (0.320, 0.320, 0.000)
Bi (0.500, 0.500, 0.000)
Bi (0.680, 0.680, 0.000)
O (0.104, 0.104, 0.000)
O (0.896, 0.896, 0.000)

=====

Entry 6:
VASP calculation (PBE) on a relaxed Ba2AgBiSe4 crystal.

Summary:
For the formation energy without anion corrections, the calculation gives -1.06 eV per atom. The calculation puts the density at 6.06 Mg/m³. For the total DFT energy (no corrections), the calculation gives -66.070 eV per cell. The space group is Imma.

abc: 8.892 8.892 8.892
angles: 121.36 118.47 90.17
Fractional coordinates of all 16 atoms:
Ba (0.000, 0.000, 0.000)
Ba (0.500, 0.000, 0.000)
Ba (0.500, 0.000, 0.500)
Ba (0.500, 0.500, 0.500)
Ag (0.000, 0.500, 0.500)
Ag (0.500, 0.500, 0.000)
Bi (0.000, 0.000, 0.500)
Bi (0.000, 0.500, 0.000)
Se (0.219, 0.740, 0.479)
Se (0.238, 0.258, 0.520)
Se (0.238, 0.260, 0.979)
Se (0.238, 0.718, 0.980)
Se (0.762, 0.282, 0.020)
Se (0.762, 0.740, 0.021)
Se (0.762, 0.742, 0.480)
Se (0.781, 0.260, 0.521)

=====

Entry 7:
VASP calculation (PBE) on a relaxed Sn2P2Pb crystal.

Summary:
As for the density of states at the Fermi level: 4.2 states/eV/cell. The calculation puts the density at 7.15 Mg/m³. The value obtained for the excess energy over the best structure of this formula in the dataset is 0.24 kcal/mol of atoms. For the total DFT energy (no corrections), the calculation gives -43.184 eV per cell. The space group is P4/mbm.

abc: 7.937 7.937 3.736
angles: 90.00 90.00 90.00
Fractional coordinates of all 10 atoms:
Sn (0.148, 0.352, 0.000)
Sn (0.352, 0.852, 0.000)
Sn (0.648, 0.148, 0.000)
Sn (0.852, 0.648, 0.000)
P (0.156, 0.656, 0.500)
P (0.344, 0.156, 0.500)
P (0.656, 0.844, 0.500)
P (0.844, 0.344, 0.500)
Pb (0.000, 0.000, 0.500)
Pb (0.500, 0.500, 0.500)

=====

Entry 8:
VASP calculation (PBE) on a relaxed CeY2C2 crystal.

Summary:
As for the density of states at the Fermi level: 6.6 states/eV/cell. The calculation puts the density at 5.62 Mg/m³. The value obtained for the excess energy over the best structure of this formula in the dataset is 0.00 kcal/mol of atoms. For the total DFT energy (no corrections), the calculation gives -76.644 eV per cell. The space group is C2/m.

abc: 6.294 6.294 7.261
angles: 106.78 106.78 47.74
Fractional coordinates of all 10 atoms:
Ce (0.161, 0.161, 0.090)
Ce (0.839, 0.839, 0.910)
Y (0.164, 0.164, 0.571)
Y (0.498, 0.498, 0.269)
Y (0.502, 0.502, 0.731)
Y (0.836, 0.836, 0.429)
C (0.005, 0.005, 0.232)
C (0.328, 0.328, 0.400)
C (0.672, 0.672, 0.600)
C (0.995, 0.995, 0.768)